Entry from OQMD: crystalline BaMg2Hg2 at its relaxed geometry (PBE).

Output
Total energy, eV/atom: -1.49

Lattice parameters (Å, degrees): 4.684 4.684 12.952 90.00 90.00 90.00
Space group I4/mmm (No. 139)
One atom of each set of equivalent atoms:
Ba1 0.000 0.000 0.000 [2 per cell]
Mg1 0.000 0.500 0.250 [4 per cell]
Hg1 0.000 0.000 0.382 [4 per cell]